Crystalline GaCu4Pt at its relaxed geometry, computed with GGA-PBE.

CIF file:
```
data_GaCu4Pt
_chemical_formula_sum 'Ga1 Cu4 Pt1'
_cell_length_a 2.729
_cell_length_b 3.663
_cell_length_c 7.900
_cell_angle_alpha 90.00
_cell_angle_beta 90.17
_cell_angle_gamma 90.00
_symmetry_space_group_name_H-M 'P 1'
_symmetry_Int_Tables_number 1
_symmetry_space_group_name_Hall 'P 1'
loop_
_atom_site_label
_atom_site_fract_x
_atom_site_fract_y
_atom_site_fract_z
Ga1 0.000 0.000 0.000
Cu1 0.001 0.000 0.673
Cu2 0.500 0.500 0.165
Cu3 0.500 0.500 0.835
Cu4 0.999 0.000 0.327
Pt1 0.500 0.500 0.500
```

Results
DOS at the Fermi energy: 2.4 states/eV/f.u.
Space-group type: P2/m (10)
Calculated total energy: -4.3575 eV/atom
Excess energy over the best structure of this formula in the dataset: 0.042 eV per atom

***

Crystalline Ga2CuPt8 at its relaxed geometry, computed with GGA-PBE.

CIF file:
```
data_Ga2CuPt8
_chemical_formula_sum 'Ga2 Cu1 Pt8'
_cell_length_a 7.124
_cell_length_b 7.124
_cell_length_c 7.124
_cell_angle_alpha 146.66
_cell_angle_beta 118.87
_cell_angle_gamma 71.44
_symmetry_space_group_name_H-M 'P 1'
_symmetry_Int_Tables_number 1
_symmetry_space_group_name_Hall 'P 1'
loop_
_atom_site_label
_atom_site_fract_x
_atom_site_fract_y
_atom_site_fract_z
Ga1 0.190 0.190 0.000
Ga2 0.810 0.810 0.000
Cu1 0.500 0.500 0.000
Pt1 0.068 0.340 0.728
Pt2 0.194 0.000 0.194
Pt3 0.357 0.857 0.500
Pt4 0.388 0.660 0.728
Pt5 0.612 0.340 0.272
Pt6 0.643 0.143 0.500
Pt7 0.806 0.000 0.806
Pt8 0.932 0.660 0.272
```

Results
DOS at the Fermi energy: 9.8 states/eV/f.u.
Space-group type: Immm (71)
Calculated total energy: -5.6136 eV/atom
Excess energy over the best structure of this formula in the dataset: 0.005 eV per atom

***

Crystalline Ga2Cu6Pt at its relaxed geometry, computed with GGA-PBE.

CIF file:
```
data_Ga2Cu6Pt
_chemical_formula_sum 'Ga2 Cu6 Pt1'
_cell_length_a 6.032
_cell_length_b 6.032
_cell_length_c 4.197
_cell_angle_alpha 90.04
_cell_angle_beta 90.04
_cell_angle_gamma 60.00
_symmetry_space_group_name_H-M 'P 1'
_symmetry_Int_Tables_number 1
_symmetry_space_group_name_Hall 'P 1'
loop_
_atom_site_label
_atom_site_fract_x
_atom_site_fract_y
_atom_site_fract_z
Ga1 0.166 0.166 0.168
Ga2 0.834 0.834 0.832
Cu1 0.108 0.696 0.334
Cu2 0.304 0.304 0.667
Cu3 0.304 0.892 0.666
Cu4 0.696 0.108 0.334
Cu5 0.696 0.696 0.333
Cu6 0.892 0.304 0.666
Pt1 0.500 0.500 0.000
```

Results
DOS at the Fermi energy: 1.9 states/eV/f.u.
Space-group type: C2/m (12)
Calculated total energy: -3.9555 eV/atom
Excess energy over the best structure of this formula in the dataset: 0.261 eV per atom

***

Crystalline Ga2Cu7Pt at its relaxed geometry, computed with GGA-PBE.

CIF file:
```
data_Ga2Cu7Pt
_chemical_formula_sum 'Ga2 Cu7 Pt1'
_cell_length_a 8.231
_cell_length_b 8.231
_cell_length_c 2.681
_cell_angle_alpha 90.00
_cell_angle_beta 90.00
_cell_angle_gamma 122.73
_symmetry_space_group_name_H-M 'P 1'
_symmetry_Int_Tables_number 1
_symmetry_space_group_name_Hall 'P 1'
loop_
_atom_site_label
_atom_site_fract_x
_atom_site_fract_y
_atom_site_fract_z
Ga1 0.177 0.823 0.000
Ga2 0.823 0.177 0.000
Cu1 0.000 0.000 0.000
Cu2 0.177 0.359 0.000
Cu3 0.321 0.679 0.500
Cu4 0.359 0.177 0.000
Cu5 0.641 0.823 0.000
Cu6 0.679 0.321 0.500
Cu7 0.823 0.641 0.000
Pt1 0.500 0.500 0.500
```

Results
DOS at the Fermi energy: 6.0 states/eV/f.u.
Space-group type: Cmmm (65)
Calculated total energy: -3.9582 eV/atom

***

Crystalline GaCu5Pt2 at its relaxed geometry, computed with GGA-PBE.

CIF file:
```
data_GaCu5Pt2
_chemical_formula_sum 'Ga2 Cu10 Pt4'
_cell_length_a 5.324
_cell_length_b 10.631
_cell_length_c 3.744
_cell_angle_alpha 90.00
_cell_angle_beta 90.00
_cell_angle_gamma 90.00
_symmetry_space_group_name_H-M 'P 1'
_symmetry_Int_Tables_number 1
_symmetry_space_group_name_Hall 'P 1'
loop_
_atom_site_label
_atom_site_fract_x
_atom_site_fract_y
_atom_site_fract_z
Ga1 0.000 0.000 0.000
Ga2 0.500 0.500 0.000
Cu1 0.000 0.500 0.000
Cu2 0.020 0.252 0.000
Cu3 0.228 0.631 0.500
Cu4 0.272 0.131 0.500
Cu5 0.480 0.752 0.000
Cu6 0.500 0.000 0.000
Cu7 0.520 0.248 0.000
Cu8 0.728 0.869 0.500
Cu9 0.772 0.369 0.500
Cu10 0.980 0.748 0.000
Pt1 0.232 0.880 0.500
Pt2 0.268 0.380 0.500
Pt3 0.732 0.620 0.500
Pt4 0.768 0.120 0.500
```

Results
DOS at the Fermi energy: 2.0 states/eV/f.u.
Space-group type: Pbam (55)
Calculated total energy: -4.7173 eV/atom

***

Crystalline Ga2CuPt at its relaxed geometry, computed with GGA-PBE.

CIF file:
```
data_Ga2CuPt
_chemical_formula_sum 'Ga4 Cu2 Pt2'
_cell_length_a 5.657
_cell_length_b 5.657
_cell_length_c 5.657
_cell_angle_alpha 102.49
_cell_angle_beta 102.49
_cell_angle_gamma 124.57
_symmetry_space_group_name_H-M 'P 1'
_symmetry_Int_Tables_number 1
_symmetry_space_group_name_Hall 'P 1'
loop_
_atom_site_label
_atom_site_fract_x
_atom_site_fract_y
_atom_site_fract_z
Ga1 0.119 0.125 0.494
Ga2 0.375 0.881 0.006
Ga3 0.631 0.625 0.506
Ga4 0.875 0.369 0.994
Cu1 0.250 0.750 0.500
Cu2 0.500 0.500 0.000
Pt1 0.000 0.000 0.000
Pt2 0.750 0.250 0.500
```

Results
DOS at the Fermi energy: 1.5 states/eV/f.u.
Space-group type: I-42d (122)
Calculated total energy: -4.1287 eV/atom
Excess energy over the best structure of this formula in the dataset: 0.267 eV per atom

***

| no. | energy of formation (meV per atom) |
| --- | --- |
| 1 | -115 |
| 2 | -298 |
| 3 | 119 |
| 4 | 119 |
| 5 | -269 |
| 6 | -81 |